[1]
DFT (PBE) results for a relaxed structure of ScPb2Se.

```
ScPb2Se
1.0
-2.062 4.938 2.701
0.241 -1.941 3.733
3.950 1.393 0.470
Pb Sc Se
2 1 1
direct
0.000 0.000 0.000
0.000 0.500 0.500
0.500 0.500 0.000
0.500 0.000 0.500
```

Final energy = -4.589 eV per atom

***

[2]
DFT (PBE) results for a relaxed structure of ScPb2Se.

```
ScPb2Se
1.0
-6.079 -6.225 -4.388
-3.600 -5.610 -7.109
-2.888 -8.160 -4.477
Pb Sc Se
2 1 1
direct
0.999 0.999 0.999
0.241 0.241 0.241
0.489 0.489 0.489
0.772 0.772 0.772
```

Final energy = -4.886 eV per atom

***

[3]
DFT (PBE) results for a relaxed structure of ScPb3Se.

```
ScPb3Se
1.0
5.647 0.000 0.000
0.000 5.647 0.000
0.000 0.000 5.647
Pb Sc Se
3 1 1
direct
0.000 0.500 0.000
0.000 0.000 0.500
0.500 0.000 0.000
0.000 0.000 0.000
0.500 0.500 0.500
```

Energy above the lowest structure with this stoichiometry = 27 meV per atom
Final energy = -3.779 eV per atom

***

[4]
DFT (PBE) results for a relaxed structure of Sc2PbSe.

```
Sc2PbSe
1.0
0.000 3.565 3.565
3.565 0.000 3.565
3.565 3.565 0.000
Pb Sc Se
1 2 1
direct
0.500 0.500 0.500
0.250 0.250 0.250
0.750 0.750 0.750
0.000 0.000 0.000
```

Energy above the lowest structure with this stoichiometry = 377 meV per atom
Final energy = -5.559 eV per atom

***

[5]
DFT (PBE) results for a relaxed structure of Sc2PbSe.

```
Sc2PbSe
1.0
7.907 -4.607 2.290
7.030 -6.204 -1.040
8.922 -2.914 -0.953
Pb Sc Se
1 2 1
direct
0.500 0.500 0.500
0.911 0.911 0.911
0.089 0.089 0.089
0.000 0.000 0.000
```

Energy above the lowest structure with this stoichiometry = 646 meV per atom
Final energy = -5.290 eV per atom

***

[6]
DFT (PBE) results for a relaxed structure of ScPb2Se.

```
ScPb2Se
1.0
6.209 0.029 0.000
3.066 5.399 0.000
-4.638 -2.714 3.111
Pb Sc Se
2 1 1
direct
0.000 0.000 0.000
0.250 0.750 0.500
0.500 0.500 0.000
0.750 0.250 0.500
```

Final energy = -4.572 eV per atom

***

[7]
DFT (PBE) results for a relaxed structure of ScPb2Se.

```
ScPb2Se
1.0
-3.062 1.238 1.401
-0.600 -1.879 -2.997
-0.802 -7.452 4.834
Pb Sc Se
2 1 1
direct
0.000 0.000 0.988
0.000 0.000 0.512
0.500 0.500 0.250
0.500 0.500 0.750
```

Final energy = -4.335 eV per atom

***

[8]
DFT (PBE) results for a relaxed structure of ScPb2Se.

```
ScPb2Se
1.0
5.263 0.086 0.000
-0.250 5.258 0.000
0.000 0.000 3.690
Pb Sc Se
2 1 1
direct
0.000 0.000 0.000
0.500 0.500 0.000
0.500 0.000 0.500
0.000 0.500 0.500
```

Final energy = -4.580 eV per atom

***

[9]
DFT (PBE) results for a relaxed structure of ScPbSe2.

```
ScPbSe2
1.0
-2.276 1.734 1.980
-2.597 -1.051 -2.063
-0.947 -6.222 4.361
Pb Sc Se
1 1 2
direct
0.500 0.500 0.250
0.500 0.500 0.750
0.000 0.000 0.951
0.000 0.000 0.549
```

Final energy = -5.139 eV per atom

***

[10]
DFT (PBE) results for a relaxed structure of ScPbSe2.

```
ScPbSe2
1.0
-2.544 6.700 2.965
-5.061 5.666 -1.560
2.058 -7.431 0.836
Pb Sc Se
1 1 2
direct
0.446 0.446 0.000
0.207 0.707 0.500
0.070 0.070 0.000
0.776 0.276 0.500
```

Final energy = -5.240 eV per atom

***

[11]
DFT (PBE) results for a relaxed structure of ScPbSe2.

```
ScPbSe2
1.0
-4.051 0.906 0.379
-0.187 -2.287 3.473
1.358 4.736 3.192
Pb Sc Se
1 1 2
direct
0.000 0.000 0.375
0.500 0.500 0.875
0.000 0.000 0.875
0.500 0.500 0.375
```

Final energy = -5.125 eV per atom

***

[12]
DFT (PBE) results for a relaxed structure of ScSiPbSe2.

```
ScSiPbSe2
1.0
-4.050 -2.901 0.511
2.688 -4.033 -1.591
1.309 -0.993 4.730
Pb Sc Si Se
1 1 1 2
direct
0.500 0.500 0.500
0.000 0.500 0.000
0.000 0.000 0.000
0.000 0.000 0.500
0.500 0.000 0.000
```

Final energy = -4.426 eV per atom

***

Which value of final energy does entry 9 give?
-5.139 eV per atom

***

What did the first record say?
DFT (PBE) results for a relaxed structure of ScPb2Se.

```
ScPb2Se
1.0
-2.062 4.938 2.701
0.241 -1.941 3.733
3.950 1.393 0.470
Pb Sc Se
2 1 1
direct
0.000 0.000 0.000
0.000 0.500 0.500
0.500 0.500 0.000
0.500 0.000 0.500
```

Final energy = -4.589 eV per atom

***

Which value of final energy does entry 3 give?
-3.779 eV per atom

***

What did the seventh record say?
DFT (PBE) results for a relaxed structure of ScPb2Se.

```
ScPb2Se
1.0
-3.062 1.238 1.401
-0.600 -1.879 -2.997
-0.802 -7.452 4.834
Pb Sc Se
2 1 1
direct
0.000 0.000 0.988
0.000 0.000 0.512
0.500 0.500 0.250
0.500 0.500 0.750
```

Final energy = -4.335 eV per atom